(1)
The following is a DFT calculation (PBE) of a geometry-optimized KThAgTe3 structure.

Values from the calculation:
* V: 35.191 Å³/atom
* raw total energy: -4.47 eV per atom
* formation energy without anion corrections: -1009 meV/atom

Unit cell a=4.539 b=15.875 c=11.722 alpha=90.00 beta=90.00 gamma=90.00
Space group Cmcm (No. 63)
One atom of each set of equivalent atoms:
K: 0.000 0.245 0.250 x4
Th: 0.000 0.000 0.000 x4
Ag: 0.000 0.468 0.750 x4
Te: 0.000 0.077 0.750 x4
Te: 0.000 0.367 0.553 x8



(2)
The following is a DFT calculation (PBE) of a geometry-optimized K2TiAgTe4 structure.

Values from the calculation:
* V: 33.435 Å³/atom
* raw total energy: -3.80 eV per atom
* formation energy without anion corrections: -614 meV/atom

Unit cell a=8.715 b=8.715 c=7.044 alpha=90.00 beta=90.00 gamma=90.00
Space group I-42m (No. 121)
One atom of each set of equivalent atoms:
K: 0.000 0.500 0.000 x4
Ti: 0.000 0.000 0.000 x2
Ag: 0.000 0.000 0.500 x2
Te: 0.171 0.171 0.774 x8



(3)
The following is a DFT calculation (PBE) of a geometry-optimized KTiAg2Te4 structure.

Values from the calculation:
* V: 32.461 Å³/atom
* raw total energy: -3.79 eV per atom
* formation energy without anion corrections: -384 meV/atom

Unit cell a=7.213 b=7.954 c=9.052 alpha=90.00 beta=90.00 gamma=90.00
Space group I222 (No. 23)
One atom of each set of equivalent atoms:
K: 0.000 0.000 0.000 x2
Ti: 0.000 0.000 0.500 x2
Ag: 0.000 0.500 0.167 x4
Te: 0.195 0.209 0.337 x8



(4)
The following is a DFT calculation (PBE) of a geometry-optimized KTl2Ag2Te2 structure.

Values from the calculation:
* V: 31.612 Å³/atom
* raw total energy: -2.86 eV per atom
* formation energy without anion corrections: -316 meV/atom

Unit cell a=4.7792 b=4.7792 c=33.5600 alpha=90.00 beta=90.00 gamma=120.00
Space group R-3m (No. 166, hexagonal axes)
One atom of each set of equivalent atoms:
K: 0.0000 0.0000 0.0000 x3
Tl: 0.0000 0.0000 0.1382 x6
Ag: 0.0000 0.0000 0.4218 x6
Te: 0.0000 0.0000 0.2641 x6



(5)
The following is a DFT calculation (PBE) of a geometry-optimized KTlAgTe2 structure.

Values from the calculation:
* V: 35.998 Å³/atom
* raw total energy: -2.76 eV per atom
* formation energy without anion corrections: -243 meV/atom

Unit cell a=5.713 b=5.713 c=5.515 alpha=90.00 beta=90.00 gamma=90.00
Space group P4/mmm (No. 123)
One atom of each set of equivalent atoms:
K: 0.000 0.000 0.000 x1
Tl: 0.500 0.500 0.000 x1
Ag: 0.500 0.500 0.500 x1
Te: 0.000 0.500 0.500 x2



(6)
The following is a DFT calculation (PBE) of a geometry-optimized KTm3Ag2Te6 structure.

Values from the calculation:
* V: 32.417 Å³/atom
* raw total energy: -4.23 eV per atom
* formation energy without anion corrections: -973 meV/atom

Unit cell a=18.788 b=4.445 c=9.720 alpha=90.00 beta=106.60 gamma=90.00
Space group C2/m (No. 12)
One atom of each set of equivalent atoms:
K: 0.000 0.000 0.000 x2
Tm: 0.000 0.000 0.500 x2
Tm: 0.158 0.500 0.817 x4
Ag: 0.157 0.500 0.227 x4
Te: 0.013 0.500 0.288 x4
Te: 0.169 0.000 0.614 x4
Te: 0.175 0.000 0.055 x4



What did the third record say?
The following is a DFT calculation (PBE) of a geometry-optimized KTiAg2Te4 structure.

Values from the calculation:
* V: 32.461 Å³/atom
* raw total energy: -3.79 eV per atom
* formation energy without anion corrections: -384 meV/atom

Unit cell a=7.213 b=7.954 c=9.052 alpha=90.00 beta=90.00 gamma=90.00
Space group I222 (No. 23)
One atom of each set of equivalent atoms:
K: 0.000 0.000 0.000 x2
Ti: 0.000 0.000 0.500 x2
Ag: 0.000 0.500 0.167 x4
Te: 0.195 0.209 0.337 x8



raw total energy of number 5 (KTlAgTe2)? -2.76 eV per atom



Among the records above, which one has the lowest V? KTl2Ag2Te2